Computed, not measured: a relaxed LiLaTb crystal at the GGA-PBE level of DFT.

Summary:
Formation energy = 0.107 eV per atom
E = -3.717 eV per atom
Offset from the most stable computed form = 0.468 kcal/mol of atoms

a = 3.5588 Å, b = 3.5588 Å, c = 8.4882 Å
α = 90.00°, β = 90.00°, γ = 120.00°
Last column: nearest neighbours and their distance in Å.
Atoms (fractional coordinates):
Li: 0.0000 0.0000 0.0000  3 Tb 3.40, 3 La 3.52, 6 Li 3.56
La: 0.3333 0.6667 0.6631  3 Li 3.52, 6 La 3.56, 3 Tb 3.57
Tb: 0.6667 0.3333 0.3192  3 Li 3.40, 6 Tb 3.56, 3 La 3.57